This record from Alexandria via LeMat-Bulk describes a PBEsol-optimized structure of LiRe2Ir. The functional is SCAN.

Geometry as CIF:
```
data_LiRe2Ir
_chemical_formula_sum 'Li1 Re2 Ir1'
_space_group_name_H-M_alt 'P 4/m m m'
_space_group_IT_number 123
_space_group_name_Hall '-P 4 2'
_cell_length_a 3.138
_cell_length_b 3.138
_cell_length_c 5.464
_cell_angle_alpha 90.00
_cell_angle_beta 90.00
_cell_angle_gamma 90.00
loop_
_atom_site_label
_atom_site_type_symbol
_atom_site_fract_x
_atom_site_fract_y
_atom_site_fract_z
Li1 Li 0.000 0.000 0.000
Re1 Re 0.500 0.500 0.225
Ir1 Ir 0.000 0.000 0.500
```

* energy relative to the elements: 0.408 eV/atom
* total moment: 0.826 μB per cell